Tb3Pr2S8 | GGA-PBE | optimized geometry

Lattice parameters (Å, degrees): 6.798 8.110 8.073 120.15 107.33 90.00
Element x y z (fractional)
Tb1 0.500 0.000 0.000
Tb2 0.000 0.262 0.000
Tb3 0.000 0.738 0.000
Pr1 0.343 0.266 0.532
Pr2 0.657 0.734 0.468
S1 0.931 0.621 0.242
S2 0.069 0.379 0.758
S3 0.925 0.113 0.226
S4 0.075 0.887 0.774
S5 0.589 0.649 0.758
S6 0.589 0.109 0.758
S7 0.411 0.891 0.242
S8 0.411 0.351 0.242

Properties
Its space-group type is C2/m, No. 12. The value obtained for the uncorrected formation energy is -24.5 eV per formula unit.